# 1
Compound: YCoOs
Source: the Alexandria database
Functional: GGA-PBE
Structure: relaxed

Unit cell a=4.005 b=4.005 c=4.134 alpha=90.00 beta=90.00 gamma=120.00
Fractional coordinates of all 3 atoms:
Y 0.333 0.667 0.667
Os 0.667 0.333 0.167
Co 0.000 0.000 0.167

Values from the calculation:
The size of the total moment comes out at 0.93 μB per formula unit. The calculation puts the density of states at the Fermi level at 3.87 states/eV/cell. The distance to the lowest polymorph of the same formula comes out at 0.210 eV/atom. As for the formation energy: -0.041 eV/atom.


# 2
Compound: CeErPu4
Source: the Alexandria database
Functional: GGA-PBE
Structure: relaxed

Unit cell a=6.132 b=6.132 c=6.132 alpha=60.00 beta=60.00 gamma=60.00
Fractional coordinates of all 6 atoms:
Pu 0.624 0.624 0.624
Pu 0.624 0.127 0.624
Pu 0.624 0.624 0.127
Pu 0.127 0.624 0.624
Ce 0.250 0.250 0.250
Er 0.000 0.000 0.000

Values from the calculation:
The size of the total moment comes out at 22.98 μB per formula unit. The calculation puts the density of states at the Fermi level at 26.67 states/eV/cell. As for the formation energy: 0.243 eV/atom.


# 3
Compound: Pm2EuFe
Source: the Alexandria database
Functional: GGA-PBE
Structure: relaxed

Unit cell a=3.700 b=3.700 c=10.928 alpha=80.25 beta=80.25 gamma=60.00
Fractional coordinates of all 4 atoms:
Eu 0.000 0.000 0.000
Pm 0.112 0.112 0.665
Pm 0.888 0.888 0.335
Fe 0.500 0.500 0.500

Values from the calculation:
The size of the total moment comes out at 6.90 μB per formula unit. The calculation puts the density of states at the Fermi level at 4.57 states/eV/cell. As for the formation energy: 0.323 eV/atom.


# 4
Compound: Mo2WSe
Source: the Alexandria database
Functional: GGA-PBE
Structure: relaxed

Unit cell a=3.129 b=3.129 c=6.562 alpha=90.00 beta=90.00 gamma=90.00
Fractional coordinates of all 4 atoms:
W 0.500 0.500 0.750
Se 0.500 0.500 0.250
Mo 0.000 0.000 0.996
Mo 0.000 0.000 0.504

Values from the calculation:
The size of the total moment comes out at 0.00 μB per formula unit. The calculation puts the density of states at the Fermi level at 3.76 states/eV/cell. For the formation energy without anion corrections, the calculation gives 0.1794 eV per atom.


# 5
Compound: TlBiSe2N
Source: the Alexandria database
Functional: GGA-PBE
Structure: relaxed

Unit cell a=5.644 b=5.644 c=4.644 alpha=90.00 beta=90.00 gamma=90.00
Fractional coordinates of all 5 atoms:
Tl 0.500 0.500 0.500
N 0.000 0.000 0.500
Se 0.000 0.500 0.000
Se 0.500 0.000 0.000
Bi 0.000 0.000 0.000

Values from the calculation:
The size of the total moment comes out at 2.56 μB per formula unit. The calculation puts the density of states at the Fermi level at 3.91 states/eV/cell. The distance to the lowest polymorph of the same formula comes out at 0.000 eV/atom. For the formation energy without anion corrections, the calculation gives 0.6664 eV per atom.


# 6
Compound: La2MgScN
Source: the Alexandria database
Functional: GGA-PBE
Structure: relaxed

Unit cell a=5.365 b=5.365 c=4.307 alpha=90.00 beta=90.00 gamma=90.00
Fractional coordinates of all 5 atoms:
La 0.000 0.500 0.000
La 0.500 0.000 0.000
Sc 0.000 0.000 0.500
N 0.000 0.000 0.000
Mg 0.500 0.500 0.500

Values from the calculation:
The size of the total moment comes out at 0.00 μB per formula unit. The calculation puts the density of states at the Fermi level at 4.25 states/eV/cell. For the formation energy without anion corrections, the calculation gives -0.6790 eV per atom.


# 7
Compound: RbAl3Cl
Source: the Alexandria database
Functional: GGA-PBE
Structure: relaxed

Unit cell a=5.513 b=5.513 c=5.513 alpha=90.00 beta=90.00 gamma=90.00
Fractional coordinates of all 5 atoms:
Cl 0.000 0.000 0.000
Al 0.000 0.500 0.000
Al 0.000 0.000 0.500
Al 0.500 0.000 0.000
Rb 0.500 0.500 0.500

Values from the calculation:
The size of the total moment comes out at 0.00 μB per formula unit. The calculation puts the density of states at the Fermi level at 2.73 states/eV/cell. The distance to the lowest polymorph of the same formula comes out at 0.000 eV/atom. For the formation energy without anion corrections, the calculation gives 0.4576 eV per atom.


# 8
Compound: Zn2SnBr6
Source: the Alexandria database
Functional: GGA-PBE
Structure: relaxed

Unit cell a=7.185 b=7.185 c=11.912 alpha=67.90 beta=67.90 gamma=32.89
Fractional coordinates of all 9 atoms:
Br 0.325 0.325 0.580
Br 0.994 0.994 0.252
Br 0.683 0.683 0.889
Br 0.006 0.006 0.748
Br 0.317 0.317 0.111
Br 0.675 0.675 0.420
Sn 0.000 0.000 0.500
Zn 0.833 0.833 0.220
Zn 0.167 0.167 0.780

Values from the calculation:
The size of the total moment comes out at 0.00 μB per formula unit. The calculation puts the density of states at the Fermi level at 0.00 states/eV/cell. The distance to the lowest polymorph of the same formula comes out at 0.018 eV/atom. For the formation energy without anion corrections, the calculation gives -0.8022 eV per atom.